{
  "formula": "Ca2PmIr9",
  "functional": "PBE-GGA",
  "state": "relaxed",
  "ef_ev_per_atom": -0.3717,
  "sg": "R-3m",
  "lattice_angstrom": [[5.1290, 0.0000, 1.5265], [2.3373, 4.5654, 1.5265], [0.0336, 0.0206, 9.2669]],
  "species": ["Ca", "Ca", "Pm", "Ir", "Ir", "Ir", "Ir", "Ir", "Ir", "Ir", "Ir", "Ir"],
  "fractional_positions": [[0.8586, 0.8586, 0.4241], [0.1414, 0.1414, 0.5759], [0.0000, 0.0000, 0.0000], [0.6672, 0.6672, 0.9983], [0.3328, 0.3328, 0.0017], [0.5000, 0.5000, 0.5000], [0.4193, 0.4193, 0.2448], [0.9166, 0.4193, 0.2448], [0.4193, 0.9166, 0.2448], [0.5807, 0.5807, 0.7552], [0.5807, 0.0834, 0.7552], [0.0834, 0.5807, 0.7552]]
}

---

{
  "formula": "CrTcBr2",
  "functional": "PBE-GGA",
  "state": "relaxed",
  "formation_energy_uncorrected_ev_per_fu": 1.063,
  "sg": "Immm",
  "polymorph_energy_mev_per_atom": 203.1,
  "lattice_angstrom": [[-3.3048, -6.0990, -2.9179], [1.2890, -5.1498, -5.3340], [1.8616, 4.0502, 6.0633]],
  "species": ["Br", "Br", "Cr", "Tc"],
  "fractional_positions": [[0.8892, 0.8892, 0.0000], [0.6108, 0.6108, 0.0000], [0.2500, 0.7500, 0.5000], [0.7500, 0.2500, 0.5000]]
}

---

{
  "formula": "LaBi3Au",
  "functional": "PBE-GGA",
  "state": "relaxed",
  "ef_ev_per_atom": 0.7588,
  "sg": "Pm-3m",
  "polymorph_energy_mev_per_atom": 813.0,
  "lattice_angstrom": [[-4.5778, -1.2402, 3.8806], [3.5717, -4.0295, 2.9256], [1.9596, 4.4473, 3.7330]],
  "species": ["Au", "Bi", "Bi", "Bi", "La"],
  "fractional_positions": [[0.5000, 0.5000, 0.5000], [0.0000, 0.5000, 0.0000], [0.0000, 0.0000, 0.5000], [0.5000, 0.0000, 0.0000], [0.0000, 0.0000, 0.0000]]
}

---

{
  "formula": "Cr2SbCl",
  "functional": "PBE-GGA",
  "state": "relaxed",
  "formation_energy_uncorrected_ev_per_fu": 2.785,
  "sg": "F-43m",
  "polymorph_energy_mev_per_atom": 733.5,
  "lattice_angstrom": [[4.9148, 0.0000, 0.0000], [2.4574, 4.2564, 0.0000], [2.4574, 1.4188, 4.0129]],
  "species": ["Sb", "Cl", "Cr", "Cr"],
  "fractional_positions": [[0.2500, 0.2500, 0.2500], [0.5000, 0.5000, 0.5000], [0.0000, 0.0000, 0.0000], [0.7500, 0.7500, 0.7500]]
}

---

{
  "formula": "CaTmGa4",
  "functional": "PBE-GGA",
  "state": "relaxed",
  "ef_ev_per_atom": -0.4505,
  "sg": "F-43m",
  "polymorph_energy_mev_per_atom": 72.7,
  "lattice_angstrom": [[5.5305, 0.0000, 0.0000], [2.7653, 4.7896, 0.0000], [2.7653, 1.5965, 4.5157]],
  "species": ["Ca", "Tm", "Ga", "Ga", "Ga", "Ga"],
  "fractional_positions": [[0.0000, 0.0000, 0.0000], [0.2500, 0.2500, 0.2500], [0.6247, 0.6247, 0.1259], [0.6247, 0.1259, 0.6247], [0.6247, 0.6247, 0.6247], [0.1259, 0.6247, 0.6247]]
}

---

{
  "formula": "BaLiGeSb2",
  "functional": "PBE-GGA",
  "state": "relaxed",
  "formation_energy_uncorrected_ev_per_fu": 0.308,
  "sg": "P4/mmm",
  "lattice_angstrom": [[5.5414, 0.0000, 0.0000], [0.0000, 5.8901, 0.0000], [0.0000, 0.0000, 5.5414]],
  "species": ["Sb", "Sb", "Ge", "Ba", "Li"],
  "fractional_positions": [[0.0000, 0.0000, 0.5000], [0.5000, 0.0000, 0.0000], [0.0000, 0.0000, 0.0000], [0.0000, 0.5000, 0.0000], [0.5000, 0.5000, 0.5000]]
}

---

{
  "formula": "CrHgW3",
  "functional": "PBE-GGA",
  "state": "relaxed",
  "ef_ev_per_atom": 3.5346,
  "sg": "Pm-3m",
  "polymorph_energy_mev_per_atom": 2014.7,
  "lattice_angstrom": [[-3.1104, 3.0669, -2.1326], [-3.7082, -2.2001, 2.2444], [0.4508, 3.0630, 3.7475]],
  "species": ["Cr", "Hg", "W", "W", "W"],
  "fractional_positions": [[0.5000, 0.5000, 0.5000], [0.0000, 0.0000, 0.0000], [0.0000, 0.5000, 0.0000], [0.0000, 0.0000, 0.5000], [0.5000, 0.0000, 0.0000]]
}

---

{
  "formula": "PmMgZn2",
  "functional": "PBE-GGA",
  "state": "relaxed",
  "ef_ev_per_atom": -0.3404,
  "sg": "Fm-3m",
  "polymorph_energy_mev_per_atom": 0.0,
  "lattice_angstrom": [[-1.2823, 4.3853, -1.7887], [-4.7361, 1.2570, -0.2527], [-1.7870, 3.4463, 3.0007]],
  "species": ["Zn", "Zn", "Mg", "Pm"],
  "fractional_positions": [[0.7500, 0.7500, 0.7500], [0.2500, 0.2500, 0.2500], [0.5000, 0.5000, 0.5000], [0.0000, 0.0000, 0.0000]]
}

---

{
  "formula": "Pm2DyHo8",
  "functional": "PBE-GGA",
  "state": "relaxed",
  "ef_ev_per_atom": 0.1682,
  "sg": "C2/m",
  "polymorph_energy_mev_per_atom": 148.1,
  "lattice_angstrom": [[5.5318, -0.5273, -0.3684], [0.6411, 9.6735, 2.5001], [0.6411, 5.6765, 8.2223]],
  "species": ["Pm", "Pm", "Dy", "Ho", "Ho", "Ho", "Ho", "Ho", "Ho", "Ho", "Ho"],
  "fractional_positions": [[0.7485, 0.2839, 0.2839], [0.2515, 0.7161, 0.7161], [0.0000, 0.0000, 0.0000], [0.2664, 0.1370, 0.6042], [0.2664, 0.6042, 0.1370], [0.7336, 0.8630, 0.3958], [0.2361, 0.5459, 0.5459], [0.7336, 0.3958, 0.8630], [0.2335, 0.1851, 0.1851], [0.7665, 0.8149, 0.8149], [0.7639, 0.4541, 0.4541]]
}

---

{
  "formula": "Ca12MgCu6",
  "functional": "PBE-GGA",
  "state": "relaxed",
  "ef_ev_per_atom": -0.0853,
  "sg": "Im-3",
  "lattice_angstrom": [[-8.9234, -1.2722, -0.0107], [2.6578, 2.7145, -8.1740], [4.1348, -7.7319, 2.0899]],
  "species": ["Ca", "Ca", "Ca", "Ca", "Ca", "Ca", "Ca", "Ca", "Ca", "Ca", "Ca", "Ca", "Mg", "Cu", "Cu", "Cu", "Cu", "Cu", "Cu"],
  "fractional_positions": [[0.3031, 0.1192, 0.8161], [0.3031, 0.4871, 0.1839], [0.6969, 0.5129, 0.8161], [0.6969, 0.8808, 0.1839], [0.1192, 0.8161, 0.3031], [0.4871, 0.1839, 0.3031], [0.5129, 0.8161, 0.6969], [0.8808, 0.1839, 0.6969], [0.8161, 0.3031, 0.1192], [0.1839, 0.3031, 0.4871], [0.8161, 0.6969, 0.5129], [0.1839, 0.6969, 0.8808], [0.0000, 0.0000, 0.0000], [0.3836, 0.5000, 0.8836], [0.6164, 0.5000, 0.1164], [0.5000, 0.8836, 0.3836], [0.5000, 0.1164, 0.6164], [0.8836, 0.3836, 0.5000], [0.1164, 0.6164, 0.5000]]
}

---

{
  "formula": "LiHoRhF6",
  "functional": "PBE-GGA",
  "state": "relaxed",
  "formation_energy_uncorrected_ev_per_fu": -24.603,
  "sg": "P-31c",
  "lattice_angstrom": [[5.4718, 0.0000, 0.0000], [-2.7359, 4.7388, 0.0000], [0.0000, 0.0000, 9.3228]],
  "species": ["Li", "Li", "Ho", "Ho", "Rh", "Rh", "F", "F", "F", "F", "F", "F", "F", "F", "F", "F", "F", "F"],
  "fractional_positions": [[0.0000, 0.0000, 0.0000], [0.0000, 0.0000, 0.5000], [0.3333, 0.6667, 0.2500], [0.6667, 0.3333, 0.7500], [0.6667, 0.3333, 0.2500], [0.3333, 0.6667, 0.7500], [0.6747, 0.6709, 0.1241], [0.9962, 0.3253, 0.1241], [0.3253, 0.9962, 0.6241], [0.0038, 0.6747, 0.8759], [0.3291, 0.3253, 0.3759], [0.9962, 0.6709, 0.3759], [0.6709, 0.9962, 0.8759], [0.6747, 0.0038, 0.3759], [0.0038, 0.3291, 0.6241], [0.3291, 0.0038, 0.1241], [0.6709, 0.6747, 0.6241], [0.3253, 0.3291, 0.8759]]
}

---

{
  "formula": "NdY4Se6",
  "functional": "PBE-GGA",
  "state": "relaxed",
  "formation_energy_uncorrected_ev_per_fu": -20.327,
  "sg": "Cmcm",
  "lattice_angstrom": [[-0.5544, 2.5413, -3.0911], [1.9742, -6.1398, -2.7618], [-19.9753, -5.8654, -1.2396]],
  "species": ["Nd", "Nd", "Y", "Y", "Y", "Y", "Y", "Y", "Y", "Y", "Se", "Se", "Se", "Se", "Se", "Se", "Se", "Se", "Se", "Se", "Se", "Se"],
  "fractional_positions": [[0.6541, 0.3083, 0.2500], [0.3459, 0.6917, 0.7500], [0.8595, 0.7190, 0.5381], [0.4099, 0.8198, 0.1262], [0.1405, 0.2810, 0.4619], [0.5901, 0.1802, 0.8738], [0.8595, 0.7190, 0.9619], [0.1405, 0.2810, 0.0381], [0.5901, 0.1802, 0.6262], [0.4099, 0.8198, 0.3738], [0.5000, 0.0000, 0.0000], [0.5000, 0.0000, 0.5000], [0.0504, 0.1007, 0.3352], [0.9496, 0.8993, 0.6648], [0.9496, 0.8993, 0.8352], [0.0504, 0.1007, 0.1648], [0.7682, 0.5364, 0.4094], [0.2318, 0.4636, 0.5906], [0.2318, 0.4636, 0.9094], [0.7682, 0.5364, 0.0906], [0.3159, 0.6318, 0.2500], [0.6841, 0.3682, 0.7500]]
}